1.
DFT (PBE-GGA) results for a relaxed structure of BeTe2Ru.

Properties
Spin magnetization: 0.0 μB/cell
Uncorrected formation energy: 607 meV per atom
SG: R-3m (166)
DOS at the Fermi energy: 0.69 states/eV per atom

Unit cell a=8.5370 b=8.5370 c=8.5370 alpha=22.88 beta=22.88 gamma=22.88
With the nearest neighbours (Å) after each atom.
Sites, in units of the cell vectors:
Te (0.8984, 0.8984, 0.8984)  1 Ru 2.53, 3 Be 2.54
Te (0.1016, 0.1016, 0.1016)  1 Ru 2.53, 3 Be 2.54
Be (0.5000, 0.5000, 0.5000)  6 Te 2.54
Ru (0.0000, 0.0000, 0.0000)  2 Te 2.53

2.
DFT (PBE-GGA) results for a relaxed structure of BeTeRuW2.

Properties
Spin magnetization: 2.0 μB/cell
Uncorrected formation energy: 2106 meV per atom
SG: P4/mmm (123)
DOS at the Fermi energy: 1.22 states/eV per atom

Unit cell a=4.7587 b=5.0125 c=4.7587 alpha=90.00 beta=90.00 gamma=90.00
With the nearest neighbours (Å) after each atom.
Sites, in units of the cell vectors:
W (0.5000, 0.0000, 0.0000)  2 Ru 2.38
W (0.0000, 0.0000, 0.5000)  2 Ru 2.38
Ru (0.0000, 0.0000, 0.0000)  4 W 2.38, 2 Te 2.51
Te (0.0000, 0.5000, 0.0000)  2 Ru 2.51
Be (0.5000, 0.5000, 0.5000)  4 Te 3.36, 8 W 3.46

3.
DFT (PBE-GGA) results for a relaxed structure of ThBeRu.

Properties
Energy relative to the lowest polymorph listed for this composition: 39.0 meV per atom
Spin magnetization: 0.0 μB/cell
SG: P2_1/m (11)
DOS at the Fermi energy: 0.66 states/eV per atom

Unit cell a=4.2471 b=4.2815 c=6.3493 alpha=90.00 beta=96.07 gamma=90.00
With the nearest neighbours (Å) after each atom.
Sites, in units of the cell vectors:
Th (0.7756, 0.2500, 0.8137)  4 Ru 2.83-2.99, 3 Be 3.01-3.11
Th (0.2244, 0.7500, 0.1863)  4 Ru 2.83-2.99, 3 Be 3.01-3.11
Ru (0.7482, 0.7500, 0.5006)  4 Be 2.35-2.37
Ru (0.2518, 0.2500, 0.4994)  4 Be 2.35-2.37
Be (0.7285, 0.2500, 0.3379)  4 Ru 2.35-2.37
Be (0.2715, 0.7500, 0.6621)  4 Ru 2.35-2.37

4.
DFT (PBE-GGA) results for a relaxed structure of ThBeRu.

Properties
Energy relative to the lowest polymorph listed for this composition: 23.4 meV per atom
Spin magnetization: 0.0 μB/cell
SG: P-6m2 (187)
DOS at the Fermi energy: 0.42 states/eV per atom

Unit cell a=4.0209 b=4.0168 c=4.0168 alpha=120.00 beta=90.00 gamma=90.00
With the nearest neighbours (Å) after each atom.
Sites, in units of the cell vectors:
Ru (0.1666, 0.0000, 0.0000)  3 Be 2.32
Th (0.6667, 0.3333, 0.6667)  6 Ru 3.07, 6 Be 3.07
Be (0.1667, 0.6667, 0.3333)  3 Ru 2.32

5.
DFT (PBE-GGA) results for a relaxed structure of ThBeRu.

Properties
Energy relative to the lowest polymorph listed for this composition: 0.0 meV per atom
Spin magnetization: 0.0 μB/cell
SG: Cmcm (63)
DOS at the Fermi energy: 0.64 states/eV per atom

Unit cell a=4.0370 b=4.0370 c=7.9276 alpha=90.00 beta=90.00 gamma=119.87
With the nearest neighbours (Å) after each atom.
Sites, in units of the cell vectors:
Be (0.7664, 0.0986, 0.2500)  3 Ru 2.33
Be (0.0986, 0.7664, 0.7500)  3 Ru 2.33
Th (0.4322, 0.4322, 0.5000)  6 Ru 3.05-3.06, 6 Be 3.06
Th (0.4322, 0.4322, 0.0000)  6 Ru 3.05-3.06, 6 Be 3.06
Ru (0.7648, 0.0997, 0.7500)  3 Be 2.33
Ru (0.0997, 0.7648, 0.2500)  3 Be 2.33

6.
DFT (PBE-GGA) results for a relaxed structure of Th2BeRu.

Properties
VASP energy: -6.40 eV per atom
Spin magnetization: 0.0 μB/cell
SG: R-3m (166)
DOS at the Fermi energy: 0.99 states/eV per atom

Unit cell a=4.0778 b=4.0778 c=9.3352 alpha=77.38 beta=77.38 gamma=60.00
With the nearest neighbours (Å) after each atom.
Sites, in units of the cell vectors:
Th (0.8891, 0.8891, 0.3327)  3 Ru 2.80, 1 Be 3.01
Th (0.1109, 0.1109, 0.6673)  3 Ru 2.80, 1 Be 3.01
Ru (0.5000, 0.5000, 0.5000)  6 Th 2.80
Be (0.0000, 0.0000, 0.0000)  2 Th 3.01

7.
DFT (PBE-GGA) results for a relaxed structure of ThBeRu2.

Properties
VASP energy: -7.60 eV per atom
Spin magnetization: 0.0 μB/cell
SG: R-3m (166)
DOS at the Fermi energy: 1.26 states/eV per atom

Unit cell a=3.9012 b=3.9012 c=5.6215 alpha=69.70 beta=69.70 gamma=60.00
With the nearest neighbours (Å) after each atom.
Sites, in units of the cell vectors:
Th (0.5000, 0.5000, 0.5000)  6 Ru 2.88
Ru (0.7171, 0.7171, 0.8487)  3 Be 2.38
Ru (0.2829, 0.2829, 0.1513)  3 Be 2.38
Be (0.0000, 0.0000, 0.0000)  6 Ru 2.38

8.
DFT (PBE-GGA) results for a relaxed structure of ThBe17Ru.

Properties
VASP energy: -4.24 eV per atom
Spin magnetization: 0.0 μB/cell
SG: R3m (160)
DOS at the Fermi energy: 0.36 states/eV per atom

Unit cell a=5.7390 b=5.7390 c=5.7390 alpha=83.47 beta=83.47 gamma=83.47
With the nearest neighbours (Å) after each atom.
Sites, in units of the cell vectors:
Ru (0.3207, 0.3207, 0.3207)  10 Be 2.43-2.69
Be (0.8765, 0.3353, 0.3353)  9 Be 2.15-2.34
Be (0.6519, 0.6519, 0.1587)  9 Be 2.20-2.44
Be (0.3353, 0.3353, 0.8765)  9 Be 2.15-2.34
Be (0.7087, 0.0117, 0.2840)  5 Be 2.08-2.31
Be (0.0117, 0.2840, 0.7087)  5 Be 2.08-2.31
Be (0.3353, 0.8765, 0.3353)  9 Be 2.15-2.34
Be (0.9086, 0.9086, 0.9086)  4 Be 2.11-2.31
Be (0.9959, 0.5066, 0.9959)  10 Be 2.14-2.37
Be (0.6519, 0.1587, 0.6519)  9 Be 2.20-2.44
Be (0.7087, 0.2840, 0.0117)  5 Be 2.08-2.31
Be (0.2840, 0.0117, 0.7087)  5 Be 2.08-2.31
Be (0.1587, 0.6519, 0.6519)  9 Be 2.20-2.44
Be (0.5066, 0.9959, 0.9959)  10 Be 2.14-2.37
Be (0.0117, 0.7087, 0.2840)  5 Be 2.08-2.31
Be (0.2840, 0.7087, 0.0117)  5 Be 2.08-2.31
Be (0.1000, 0.1000, 0.1000)  4 Be 2.11-2.22
Be (0.9959, 0.9959, 0.5066)  10 Be 2.14-2.37
Th (0.6540, 0.6540, 0.6540)  19 Be 2.80-2.92

9.
DFT (PBE-GGA) results for a relaxed structure of ThBeRu3.

Properties
VASP energy: -8.00 eV per atom
Spin magnetization: 0.0 μB/cell
SG: Pm-3m (221)
DOS at the Fermi energy: 1.00 states/eV per atom

Unit cell a=4.3097 b=4.3097 c=4.3097 alpha=90.00 beta=90.00 gamma=90.00
With the nearest neighbours (Å) after each atom.
Sites, in units of the cell vectors:
Ru (0.0000, 0.0000, 0.5000)  2 Be 2.15
Ru (0.0000, 0.5000, 0.0000)  2 Be 2.15
Ru (0.5000, 0.0000, 0.0000)  2 Be 2.15
Be (0.0000, 0.0000, 0.0000)  6 Ru 2.15
Th (0.5000, 0.5000, 0.5000)  12 Ru 3.05

10.
DFT (PBE-GGA) results for a relaxed structure of ThBe4Ru.

Properties
VASP energy: -5.32 eV per atom
Spin magnetization: 0.0 μB/cell
SG: F-43m (216)

Unit cell a=4.8383 b=4.8383 c=4.8383 alpha=60.00 beta=60.00 gamma=60.00
With the nearest neighbours (Å) after each atom.
Sites, in units of the cell vectors:
Ru (0.0000, 0.0000, 0.0000)  12 Be 2.83, 4 Th 2.96
Be (0.6301, 0.1098, 0.6301)  6 Be 2.32-2.52
Be (0.6301, 0.6301, 0.6301)  6 Be 2.32-2.52
Be (0.6301, 0.6301, 0.1098)  6 Be 2.32-2.52
Be (0.1098, 0.6301, 0.6301)  6 Be 2.32-2.52
Th (0.2500, 0.2500, 0.2500)  12 Be 2.85, 4 Ru 2.96

11.
DFT (PBE-GGA) results for a relaxed structure of Ti3BeRu.

Properties
Energy relative to the lowest polymorph listed for this composition: 275.5 meV per atom
Spin magnetization: 1.4 μB/cell
SG: Pm-3m (221)
DOS at the Fermi energy: 1.31 states/eV per atom

Unit cell a=4.6608 b=4.6608 c=4.6608 alpha=90.00 beta=90.00 gamma=90.00
With the nearest neighbours (Å) after each atom.
Sites, in units of the cell vectors:
Ti (0.0000, 0.0000, 0.5000)  2 Ru 2.33
Ti (0.5000, 0.0000, 0.0000)  2 Ru 2.33
Ti (0.0000, 0.5000, 0.0000)  2 Ru 2.33
Ru (0.0000, 0.0000, 0.0000)  6 Ti 2.33
Be (0.5000, 0.5000, 0.5000)  12 Ti 3.30

12.
DFT (PBE-GGA) results for a relaxed structure of Ti2Be16Ru.

Properties
VASP energy: -4.67 eV per atom
Spin magnetization: 0.0 μB/cell
SG: R3m (160)
DOS at the Fermi energy: 0.33 states/eV per atom

Unit cell a=5.6370 b=5.6370 c=5.6370 alpha=83.57 beta=83.57 gamma=83.57
With the nearest neighbours (Å) after each atom.
Sites, in units of the cell vectors:
Be (0.4987, 0.0000, 0.0000)  9 Be 2.11-2.24, 1 Ru 2.31
Be (0.7032, 0.9975, 0.2928)  8 Be 2.11-2.28
Be (0.9975, 0.2928, 0.7032)  8 Be 2.11-2.28
Be (0.2928, 0.9975, 0.7032)  8 Be 2.11-2.28
Be (0.8371, 0.3466, 0.3466)  9 Be 2.15-2.32
Be (0.9975, 0.7032, 0.2928)  8 Be 2.11-2.28
Be (0.3466, 0.8371, 0.3466)  9 Be 2.15-2.32
Be (0.7032, 0.2928, 0.9975)  8 Be 2.11-2.28
Be (0.2928, 0.7032, 0.9975)  8 Be 2.11-2.28
Be (0.6503, 0.6503, 0.1582)  8 Be 2.15-2.28, 1 Ru 2.39
Be (0.0000, 0.4987, 0.0000)  9 Be 2.11-2.24, 1 Ru 2.31
Be (0.0000, 0.0000, 0.4987)  9 Be 2.11-2.24, 1 Ru 2.31
Be (0.1119, 0.1119, 0.1119)  1 Ru 2.22, 6 Be 2.24-2.32
Be (0.1582, 0.6503, 0.6503)  8 Be 2.15-2.28, 1 Ru 2.39
Be (0.6503, 0.1582, 0.6503)  8 Be 2.15-2.28, 1 Ru 2.39
Be (0.3466, 0.3466, 0.8371)  9 Be 2.15-2.32
Ru (0.9062, 0.9062, 0.9062)  13 Be 2.22-2.43
Ti (0.3430, 0.3430, 0.3430)  13 Be 2.50-2.79
Ti (0.6640, 0.6640, 0.6640)  1 Ru 2.62, 18 Be 2.66-2.87

What is the spin magnetization in the sixth record? 0.0 μB/cell

Please write out number 10 again, unchanged.
DFT (PBE-GGA) results for a relaxed structure of ThBe4Ru.

Properties
VASP energy: -5.32 eV per atom
Spin magnetization: 0.0 μB/cell
SG: F-43m (216)

Unit cell a=4.8383 b=4.8383 c=4.8383 alpha=60.00 beta=60.00 gamma=60.00
With the nearest neighbours (Å) after each atom.
Sites, in units of the cell vectors:
Ru (0.0000, 0.0000, 0.0000)  12 Be 2.83, 4 Th 2.96
Be (0.6301, 0.1098, 0.6301)  6 Be 2.32-2.52
Be (0.6301, 0.6301, 0.6301)  6 Be 2.32-2.52
Be (0.6301, 0.6301, 0.1098)  6 Be 2.32-2.52
Be (0.1098, 0.6301, 0.6301)  6 Be 2.32-2.52
Th (0.2500, 0.2500, 0.2500)  12 Be 2.85, 4 Ru 2.96